Record 1
This record from Alexandria describes a relaxed Y2NiSb crystal. The functional is PBE.

For the total magnetic moment, the calculation gives 0.00 μB per formula unit. The calculation puts the raw total energy at -6.252 eV per atom.

a = 4.2283 Å, b = 4.2283 Å, c = 7.1362 Å
α = 72.78°, β = 72.78°, γ = 60.05°
Closest atoms and distances in Å follow each position.
Element x y z (fractional)
Sb: 0.2500 0.2500 0.2500  6 Y 3.08
Y: 0.4903 0.4903 0.5298  3 Ni 2.85, 3 Sb 3.08
Y: 0.0097 0.0097 0.9702  3 Ni 2.85, 3 Sb 3.08
Ni: 0.7500 0.7500 0.7500  6 Y 2.85

Record 2
This record from Alexandria describes a relaxed Y2NiSb crystal. The functional is PBE.

For the total magnetic moment, the calculation gives 0.00 μB per formula unit. The calculation puts the raw total energy at -6.200 eV per atom.

a = 5.0983 Å, b = 5.0983 Å, c = 5.0983 Å
α = 60.00°, β = 60.00°, γ = 60.00°
Closest atoms and distances in Å follow each position.
Element x y z (fractional)
Sb: 0.5000 0.5000 0.5000  8 Y 3.12
Y: 0.7500 0.7500 0.7500  4 Ni 3.12, 4 Sb 3.12
Y: 0.2500 0.2500 0.2500  4 Sb 3.12, 4 Ni 3.12
Ni: 0.0000 0.0000 0.0000  8 Y 3.12

Record 3
This record from Alexandria describes a relaxed Y2NiSb crystal. The functional is PBE.

For the total magnetic moment, the calculation gives 0.00 μB per formula unit. The calculation puts the raw total energy at -6.254 eV per atom.

a = 3.7462 Å, b = 3.5180 Å, c = 7.9496 Å
α = 63.62°, β = 90.00°, γ = 90.00°
Closest atoms and distances in Å follow each position.
Element x y z (fractional)
Sb: 0.5000 0.7500 0.7500  8 Y 3.21-3.22, 2 Sb 3.52, 2 Ni 3.56
Ni: 0.5000 0.2500 0.2500  8 Y 3.04-3.05
Y: 0.0000 0.9784 0.0213  4 Ni 3.04-3.05, 4 Sb 3.21-3.22, 1 Y 3.26
Y: 0.0000 0.5216 0.4787  4 Ni 3.04-3.05, 4 Sb 3.21-3.22, 1 Y 3.26

Record 4
This record from Alexandria describes a relaxed Y2NiSb crystal. The functional is PBE.

For the total magnetic moment, the calculation gives 0.90 μB per formula unit. The calculation puts the raw total energy at -6.175 eV per atom.

a = 7.3744 Å, b = 7.3744 Å, c = 7.3744 Å
α = 33.30°, β = 33.30°, γ = 33.30°
Closest atoms and distances in Å follow each position.
Element x y z (fractional)
Y: 0.0270 0.0270 0.0270  3 Sb 3.09, 3 Ni 3.38
Y: 0.2160 0.2160 0.2160  3 Ni 2.92, 3 Sb 3.19
Ni: 0.4728 0.4728 0.4728  3 Sb 2.48
Sb: 0.7843 0.7843 0.7843  3 Ni 2.48

Record 5
This record from Alexandria describes a relaxed Y2NiSb crystal. The functional is PBE.

For the total magnetic moment, the calculation gives 0.00 μB per formula unit. The calculation puts the raw total energy at -6.233 eV per atom.

a = 7.9894 Å, b = 4.9583 Å, c = 3.8363 Å
α = 89.89°, β = 61.46°, γ = 128.38°
Closest atoms and distances in Å follow each position.
Element x y z (fractional)
Ni: 0.0000 0.5000 0.5000  8 Y 3.13-3.14, 2 Sb 3.50
Sb: 0.5000 0.5000 0.0000  8 Y 3.13-3.14, 2 Ni 3.50
Y: 0.5000 0.0000 0.5000  4 Sb 3.13-3.14, 4 Ni 3.13-3.14, 2 Y 3.50
Y: 0.0000 0.0000 0.0000  4 Ni 3.13-3.14, 4 Sb 3.13-3.14, 2 Y 3.50

Record 6
This record from Alexandria describes a relaxed Y2NiSb crystal. The functional is PBE.

For the total magnetic moment, the calculation gives 0.00 μB per formula unit. The calculation puts the raw total energy at -5.704 eV per atom.

a = 5.0602 Å, b = 5.0602 Å, c = 5.0602 Å
α = 60.00°, β = 60.00°, γ = 60.00°
Closest atoms and distances in Å follow each position.
Element x y z (fractional)
Y: 0.2500 0.2500 0.2500  4 Ni 3.10, 4 Y 3.10
Y: 0.0000 0.0000 0.0000  4 Sb 3.10, 4 Y 3.10
Ni: 0.5000 0.5000 0.5000  4 Y 3.10, 4 Sb 3.10
Sb: 0.7500 0.7500 0.7500  4 Y 3.10, 4 Ni 3.10